Entry 1:
Below is a relaxed structure of Sc3ZnO, with properties calculated at the PBE level.

The structure in CIF format:
```
data_Sc3ZnO
_symmetry_space_group_name_H-M 'P 1'
_symmetry_Int_Tables_number 1
_symmetry_space_group_name_Hall 'P 1'
_cell_length_a 6.2977
_cell_length_b 6.2977
_cell_length_c 6.2977
_cell_angle_alpha 58.52
_cell_angle_beta 58.52
_cell_angle_gamma 58.52
loop_
_atom_site_label
_atom_site_fract_x
_atom_site_fract_y
_atom_site_fract_z
Sc1 0.0107 0.5862 0.1611
Sc2 0.1611 0.0107 0.5862
Sc3 0.4138 0.8389 0.9893
Sc4 0.5862 0.1611 0.0107
Sc5 0.8389 0.9893 0.4138
Sc6 0.9893 0.4138 0.8389
Zn1 0.4102 0.4102 0.4102
Zn2 0.5898 0.5898 0.5898
O1 0.1679 0.1679 0.1679
O2 0.8321 0.8321 0.8321
```

Entry 2:
Below is a relaxed structure of Sc3ZnO, with properties calculated at the PBE level.

The structure in CIF format:
```
data_Sc3ZnO
_symmetry_space_group_name_H-M 'P 1'
_symmetry_Int_Tables_number 1
_symmetry_space_group_name_Hall 'P 1'
_cell_length_a 3.3061
_cell_length_b 6.4747
_cell_length_c 9.2869
_cell_angle_alpha 90.00
_cell_angle_beta 90.00
_cell_angle_gamma 90.00
loop_
_atom_site_label
_atom_site_fract_x
_atom_site_fract_y
_atom_site_fract_z
Sc1 0.0000 0.0000 0.0000
Sc2 0.0000 0.5000 0.5000
Sc3 0.5000 0.2401 0.2457
Sc4 0.5000 0.2599 0.7457
Sc5 0.5000 0.7401 0.7457
Sc6 0.5000 0.7599 0.2457
Zn1 0.0000 0.0000 0.4958
Zn2 0.0000 0.5000 0.9958
O1 0.5000 0.0000 0.8643
O2 0.5000 0.5000 0.3643
```

Entry 3:
Below is a relaxed structure of Sc3ZnO, with properties calculated at the PBE level.

The structure in CIF format:
```
data_Sc3ZnO
_symmetry_space_group_name_H-M 'P 1'
_symmetry_Int_Tables_number 1
_symmetry_space_group_name_Hall 'P 1'
_cell_length_a 6.0874
_cell_length_b 6.0874
_cell_length_c 5.9039
_cell_angle_alpha 97.11
_cell_angle_beta 97.11
_cell_angle_gamma 121.31
loop_
_atom_site_label
_atom_site_fract_x
_atom_site_fract_y
_atom_site_fract_z
Sc1 0.2168 0.2909 0.9923
Sc2 0.2468 0.7532 0.7500
Sc3 0.2909 0.2168 0.4923
Sc4 0.7091 0.7832 0.5077
Sc5 0.7532 0.2468 0.2500
Sc6 0.7832 0.7091 0.0077
Zn1 0.2446 0.7554 0.2500
Zn2 0.7554 0.2446 0.7500
O1 0.4425 0.5575 0.7500
O2 0.5575 0.4425 0.2500
```

Entry 4:
Below is a relaxed structure of Sc3ZnO, with properties calculated at the PBE level.

The structure in CIF format:
```
data_Sc3ZnO
_symmetry_space_group_name_H-M 'P 1'
_symmetry_Int_Tables_number 1
_symmetry_space_group_name_Hall 'P 1'
_cell_length_a 6.1108
_cell_length_b 6.1108
_cell_length_c 7.3444
_cell_angle_alpha 107.38
_cell_angle_beta 107.38
_cell_angle_gamma 44.45
loop_
_atom_site_label
_atom_site_fract_x
_atom_site_fract_y
_atom_site_fract_z
Sc1 0.0000 0.0000 0.0000
Sc2 0.0000 0.0000 0.5000
Sc3 0.2797 0.2797 0.3855
Sc4 0.3010 0.3010 0.9098
Sc5 0.6990 0.6990 0.0902
Sc6 0.7203 0.7203 0.6145
Zn1 0.4874 0.4874 0.7297
Zn2 0.5126 0.5126 0.2703
O1 0.1950 0.1950 0.0910
O2 0.8050 0.8050 0.9090
```

Entry 5:
Below is a relaxed structure of ScZn3O, with properties calculated at the PBE level.

Values from the calculation:
Offset from the most stable computed form: 1.279 eV per atom

The structure in CIF format:
```
data_ScZn3O
_symmetry_space_group_name_H-M 'P 1'
_symmetry_Int_Tables_number 1
_symmetry_space_group_name_Hall 'P 1'
_cell_length_a 5.3135
_cell_length_b 5.3135
_cell_length_c 5.3135
_cell_angle_alpha 90.00
_cell_angle_beta 90.00
_cell_angle_gamma 90.00
loop_
_atom_site_label
_atom_site_fract_x
_atom_site_fract_y
_atom_site_fract_z
Sc1 0.0000 0.0000 0.0000
Zn1 0.0000 0.0000 0.5000
Zn2 0.0000 0.5000 0.0000
Zn3 0.5000 0.0000 0.0000
O1 0.5000 0.5000 0.5000
```

Entry 6:
Below is a relaxed structure of ScZnO3, with properties calculated at the PBE level.

The structure in CIF format:
```
data_ScZnO3
_symmetry_space_group_name_H-M 'P 1'
_symmetry_Int_Tables_number 1
_symmetry_space_group_name_Hall 'P 1'
_cell_length_a 5.8153
_cell_length_b 5.8153
_cell_length_c 5.8153
_cell_angle_alpha 54.97
_cell_angle_beta 54.97
_cell_angle_gamma 54.97
loop_
_atom_site_label
_atom_site_fract_x
_atom_site_fract_y
_atom_site_fract_z
Sc1 0.0000 0.0000 0.0000
Sc2 0.5000 0.5000 0.5000
Zn1 0.2500 0.2500 0.2500
Zn2 0.7500 0.7500 0.7500
O1 0.1061 0.7500 0.3939
O2 0.2500 0.6061 0.8939
O3 0.3939 0.1061 0.7500
O4 0.6061 0.8939 0.2500
O5 0.7500 0.3939 0.1061
O6 0.8939 0.2500 0.6061
```

Computed E_form (uncorrected) (kJ/mol of formula units) in order:
-573, -548, -627, -625, 554, -989